[1]
VASP calculation (PBE-GGA) on crystalline YLuCdIr at its relaxed geometry.

extended XYZ file:
```
4
Lattice="0.0000 3.5283 3.5283 3.5283 0.0000 3.5283 3.5283 3.5283 0.0000" Properties=species:S:1:pos:R:3 pbc="T T T"
Y 0.0000 0.0000 0.0000
Lu 3.5283 3.5283 3.5283
Cd 5.2924 5.2924 5.2924
Ir 1.7641 1.7641 1.7641
```

SG ... No. 216
Crystal system ... cubic
Calculated formation energy ... -0.5769 eV per atom



[2]
VASP calculation (PBE-GGA) on crystalline CdPdPt at its relaxed geometry.

extended XYZ file:
```
6
Lattice="6.2176 -1.4555 0.0000 6.2176 1.4555 0.0000 -1.1174 0.0000 5.5783" Properties=species:S:1:pos:R:3 pbc="T T T"
Cd 1.6821 0.0000 1.7622
Cd 9.6357 0.0000 3.8161
Pd 1.1160 0.0000 4.5781
Pd 10.2018 0.0000 1.0003
Pt 6.2176 0.0000 0.0000
Pt 5.6589 0.0000 2.7892
```

SG ... No. 12
Crystal system ... monoclinic
Calculated formation energy ... -0.2228 eV per atom



[3]
VASP calculation (PBE-GGA) on crystalline Ac2Cd3Pb3 at its relaxed geometry.

extended XYZ file:
```
8
Lattice="4.9517 0.0000 0.0000 0.0000 5.0851 0.0000 0.0000 0.0000 9.7179" Properties=species:S:1:pos:R:3 pbc="T T T"
Ac 0.0000 0.0000 2.4321
Ac 0.0000 0.0000 7.2858
Cd 0.0000 2.5426 0.0000
Cd 2.4758 2.5426 2.3232
Cd 2.4758 2.5426 7.3947
Pb 0.0000 2.5426 4.8590
Pb 2.4758 0.0000 0.0000
Pb 2.4758 0.0000 4.8590
```

SG ... No. 47
Crystal system ... orthorhombic
Calculated formation energy ... -0.3458 eV per atom



[4]
VASP calculation (PBE-GGA) on crystalline TcPBr2 at its relaxed geometry.

extended XYZ file:
```
4
Lattice="1.6514 -2.8261 0.0000 1.6514 2.8261 0.0000 0.0000 0.0000 9.7625" Properties=species:S:1:pos:R:3 pbc="T T T"
Tc 0.0000 0.0000 0.0000
P 1.6514 0.0000 1.5370
Br 0.0000 0.0000 3.9871
Br 1.6514 0.0000 7.6954
```

Raw formation energy ... 1.4 eV/f.u.
SG ... No. 35
Crystal system ... orthorhombic



[5]
VASP calculation (PBE-GGA) on crystalline Tb2Nd3Cd2 at its relaxed geometry.

extended XYZ file:
```
7
Lattice="2.5575 -11.7202 0.0000 2.5575 11.7202 0.0000 0.0000 0.0000 3.5154" Properties=species:S:1:pos:R:3 pbc="T T T"
Tb 2.5575 6.7908 0.0000
Tb 2.5575 -6.7908 0.0000
Nd 2.5575 3.3799 1.7577
Nd 2.5575 0.0000 1.7577
Nd 2.5575 -3.3799 1.7577
Cd 2.5575 10.0975 0.0000
Cd 2.5575 -10.0975 0.0000
```

SG ... No. 65
Crystal system ... orthorhombic
Calculated formation energy ... -0.0557 eV per atom



[6]
VASP calculation (PBE-GGA) on crystalline TbDy2YS6 at its relaxed geometry.

extended XYZ file:
```
10
Lattice="3.4621 1.9988 6.1775 -3.4621 1.9988 6.1775 0.0000 -3.9976 6.1775" Properties=species:S:1:pos:R:3 pbc="T T T"
Tb 0.0000 0.0000 0.0000
Dy 0.0000 0.0000 5.5271
Dy 0.0000 0.0000 14.7993
Y 0.0000 0.0000 9.2568
S -1.0523 -1.7922 7.3889
S -2.4266 -0.1920 10.4769
S -1.0260 1.8074 7.3889
S 1.3796 -2.0055 10.4769
S 2.0783 -0.0152 7.3889
S 1.0470 2.1975 10.4769
```

Raw formation energy ... -20.6 eV/f.u.
SG ... No. 146
Crystal system ... trigonal



Number 1: DOS(E_F) 2.3 states/eV/f.u.. Number 2: DOS(E_F) 2.3 states/eV/f.u.. Number 3: DOS(E_F) 4.7 states/eV/f.u.. Number 4: DOS(E_F) 2.4 states/eV/f.u.. Number 5: DOS(E_F) 8.5 states/eV/f.u.. Number 6: DOS(E_F) 0.0 states/eV/f.u..